48
Lattice="9.1251 0.0000 0.0000 0.0000 7.2945 0.0000 -0.1127 0.0000 10.9842" Properties=species:S:1:pos:R:3 comment="RbSmSe2O8 | Alexandria via LeMat-Bulk | PBEsol | relaxed" final_energy_ev_per_atom=-6.212 raw_formation_energy_ev_per_fu=-18.7 n_ef_per_ev_cell=0.00 pbc="T T T"
Rb 0.5747 1.0616 3.7513
Rb 0.5183 2.5856 9.2434
Rb 8.4941 4.7089 1.7408
Rb 8.4377 6.2329 7.2330
Sm 4.0165 4.8541 7.1710
Sm 4.0729 6.0877 1.6789
Sm 4.9396 1.2068 9.3054
Sm 4.9959 2.4404 3.8132
Se 2.0888 4.8297 4.5603
Se 2.0325 6.1121 10.0524
Se 2.8747 1.1919 6.6972
Se 2.9310 2.4554 1.2050
Se 6.0814 4.8392 9.7792
Se 6.1378 6.1026 4.2871
Se 6.9800 1.1824 0.9318
Se 6.9236 2.4649 6.4239
O 0.8547 3.8935 4.0567
O 0.7983 7.0483 9.5489
O 1.2436 1.1504 6.6356
O 1.3000 2.4969 1.1435
O 1.9399 5.3843 0.5616
O 1.8835 5.5576 6.0537
O 2.3996 4.9313 8.9272
O 2.4559 6.0105 3.4351
O 3.4321 1.1535 2.1708
O 3.3757 2.4938 7.6630
O 3.4617 3.9273 4.9535
O 3.4053 7.0146 10.4457
O 3.5358 1.1652 5.1809
O 3.4795 2.4820 10.6730
O 3.6356 3.6824 2.1332
O 3.5793 7.2595 7.6253
O 5.4331 0.0351 3.3589
O 5.3768 3.6122 8.8511
O 5.5329 4.8125 0.3112
O 5.4766 6.1293 5.8033
O 5.6071 0.2800 0.5386
O 5.5507 3.3673 6.0307
O 5.6367 4.8007 3.3213
O 5.5803 6.1411 8.8134
O 6.5565 1.2840 7.5492
O 6.6129 2.3632 2.0571
O 7.1289 1.7370 4.9305
O 7.0726 1.9103 10.4227
O 7.7124 4.7977 9.8408
O 7.7688 6.1441 4.3486
O 8.2141 0.2462 1.4354
O 8.1577 3.4010 6.9275

4
Lattice="0.0000 3.2316 3.2316 3.2316 0.0000 3.2316 3.2316 3.2316 0.0000" Properties=species:S:1:pos:R:3 comment="Zr2TcRu | Alexandria via LeMat-Bulk | PBEsol | relaxed" final_energy_ev_per_atom=-10.419 formation_enthalpy_0k_mev_per_atom=-514 n_ef_per_ev_cell=2.46 pbc="T T T"
Zr 1.6158 1.6158 1.6158
Zr 4.8474 4.8474 4.8474
Tc 0.0000 0.0000 0.0000
Ru 3.2316 3.2316 3.2316

5
Lattice="4.3679 0.0000 0.0000 0.0000 4.3679 0.0000 0.0000 0.0000 5.3389" Properties=species:S:1:pos:R:3 comment="TlSN2F | Alexandria via LeMat-Bulk | PBEsol | relaxed" final_energy_ev_per_atom=-3.282 raw_formation_energy_ev_per_fu=9.6 n_ef_per_ev_cell=2.27 relative_energy_ev_per_atom=1.354 pbc="T T T"
Tl 0.0000 0.0000 0.0000
S 0.0000 0.0000 2.6694
N 0.0000 2.1840 0.0000
N 2.1840 0.0000 0.0000
F 2.1840 2.1840 2.6694

5
Lattice="3.6008 0.0000 0.0000 0.0000 3.6008 0.0000 0.0000 0.0000 3.6008" Properties=species:S:1:pos:R:3 comment="Fe3GeH | Alexandria via LeMat-Bulk | PBEsol | relaxed" final_energy_ev_per_atom=-7.133 n_ef_per_ev_cell=5.28 pbc="T T T"
Fe 0.0000 0.0000 1.8004
Fe 0.0000 1.8004 0.0000
Fe 1.8004 0.0000 0.0000
Ge 1.8004 1.8004 1.8004
H 0.0000 0.0000 0.0000

18
Lattice="8.3892 0.0000 0.0000 -4.1946 7.2653 0.0000 0.0000 0.0000 6.3069" Properties=species:S:1:pos:R:3 comment="Y5Si3C | Alexandria via LeMat-Bulk | PBEsol | relaxed" final_energy_ev_per_atom=-7.462 raw_formation_energy_ev_per_fu=-6.2 n_ef_per_ev_cell=13.66 pbc="T T T"
Y -0.9397 1.6277 1.5767
Y -3.2549 5.6376 4.7301
Y 1.8795 0.0000 1.5767
Y 0.9397 1.6277 4.7301
Y 0.0000 4.8435 0.0000
Y 0.0000 4.8435 3.1534
Y 4.1946 2.4218 0.0000
Y 4.1946 2.4218 3.1534
Y 6.5097 0.0000 4.7301
Y 3.2549 5.6376 1.5767
Si -1.7143 2.9692 4.7301
Si -2.4803 4.2960 1.5767
Si 3.4286 0.0000 4.7301
Si 1.7143 2.9692 1.5767
Si 4.9606 0.0000 1.5767
Si 2.4803 4.2960 4.7301
C 0.0000 0.0000 0.0000
C 0.0000 0.0000 3.1534

5
Lattice="4.6595 0.0000 0.0000 0.0000 4.6595 0.0000 0.0000 0.0000 4.6595" Properties=species:S:1:pos:R:3 comment="YReRh3 | Alexandria via LeMat-Bulk | PBEsol | relaxed" final_energy_ev_per_atom=-6.894 formation_enthalpy_0k_mev_per_atom=2020 n_ef_per_ev_cell=7.09 pbc="T T T"
Y 0.0000 0.0000 0.0000
Re 2.3297 2.3297 2.3297
Rh 0.0000 0.0000 2.3297
Rh 0.0000 2.3297 0.0000
Rh 2.3297 0.0000 0.0000

3
Lattice="0.0000 2.2040 6.5134 1.3829 0.0000 6.5134 1.3829 2.2040 0.0000" Properties=species:S:1:pos:R:3 comment="TcNiOs | Alexandria via LeMat-Bulk | PBEsol | relaxed" final_energy_ev_per_atom=-9.467 formation_enthalpy_0k_mev_per_atom=413 n_ef_per_ev_cell=4.58 relative_energy_ev_per_atom=0.399 pbc="T T T"
Tc 0.0000 0.0000 0.0000
Ni 1.3829 2.2040 8.6375
Os 1.3829 2.2040 4.2819

4
Lattice="2.7444 -3.7860 0.0000 2.7444 3.7860 0.0000 0.0000 0.0000 2.7543" Properties=species:S:1:pos:R:3 comment="MgPtRh2 | Alexandria via LeMat-Bulk | PBEsol | relaxed" final_energy_ev_per_atom=-6.532 formation_enthalpy_0k_mev_per_atom=-293 n_ef_per_ev_cell=3.45 pbc="T T T"
Mg 0.0000 0.0000 0.0000
Pt 2.7444 0.0000 0.0000
Rh 1.3722 1.8930 1.3771
Rh 1.3722 -1.8930 1.3771